# Hf2RhCl

Crystalline Hf2RhCl at its relaxed geometry (PBE-GGA, the Alexandria database).

a = 5.274 Å, b = 5.274 Å, c = 7.801 Å
α = 70.24°, β = 70.24°, γ = 90.00°
Atoms (fractional coordinates):
Hf: 0.122 0.625 0.250
Hf: 0.375 0.372 0.750
Hf: 0.875 0.878 0.750
Hf: 0.628 0.125 0.250
Cl: 0.500 0.500 0.000
Cl: 0.250 0.750 0.500
Rh: 0.750 0.250 0.500
Rh: 0.000 0.000 0.000

Computed properties:
Energy relative to the lowest polymorph listed for this composition (meV per atom): 298
Crystal system: tetragonal
E_form (uncorrected) (kJ per mole of atoms): -4.2
Raw total energy (eV per atom): -7.32
Density of states at the Fermi level (states/eV/cell): 6.638
Space group: I-42d (122)

# AcScTe2

Crystalline AcScTe2 at its relaxed geometry (PBE-GGA, the Alexandria database).

a = 4.622 Å, b = 4.622 Å, c = 9.857 Å
α = 76.44°, β = 76.44°, γ = 60.00°
Atoms (fractional coordinates):
Te: 0.098 0.098 0.705
Te: 0.902 0.902 0.295
Sc: 0.000 0.000 0.000
Ac: 0.500 0.500 0.500

Computed properties:
Energy relative to the lowest polymorph listed for this composition (meV per atom): 538
Crystal system: trigonal
E_form (uncorrected) (kJ per mole of atoms): -72.5
Raw total energy (eV per atom): -4.93
Density of states at the Fermi level (states/eV/cell): 3.486
Space group: R-3m (166)

# PaAgSb2O8

Crystalline PaAgSb2O8 at its relaxed geometry (PBE-GGA, the Alexandria database).

a = 6.248 Å, b = 6.248 Å, c = 6.248 Å
α = 106.94°, β = 106.94°, γ = 114.66°
Atoms (fractional coordinates):
O: 0.378 0.087 0.291
O: 0.884 0.702 0.182
O: 0.913 0.622 0.709
O: 0.298 0.479 0.182
O: 0.913 0.205 0.291
O: 0.298 0.116 0.818
O: 0.795 0.087 0.709
O: 0.521 0.702 0.818
Pa: 0.000 0.000 0.000
Ag: 0.250 0.750 0.500
Sb: 0.750 0.250 0.500
Sb: 0.500 0.500 0.000

Computed properties:
Crystal system: tetragonal
E_form (uncorrected) (kJ per mole of atoms): -154.8
Raw total energy (eV per atom): -6.63
Density of states at the Fermi level (states/eV/cell): 0.225
Space group: I-4m2 (119)